# 1
A plane-wave DFT calculation with PBEsol was carried out for crystalline MgTlTe2 at its relaxed geometry.

Cell and atoms, written as extended XYZ:
```
4
Lattice="3.9106 0.0000 0.0000 0.0000 4.0181 0.0000 -1.9553 -2.0091 7.5135" Properties=species:S:1:pos:R:3 pbc="T T T"
Mg 0.0000 2.0091 3.0914
Te 0.0000 0.0000 0.9299
Te 1.9553 0.0000 4.2014
Tl 0.0000 0.0000 6.8043
```

Values from the calculation:
**Energy**: -3.20 eV per atom
**Space group**: Imm2 (44)
**Formation energy (no corrections)**: -0.348 eV per atom

# 2
A plane-wave DFT calculation with PBEsol was carried out for crystalline ZnAg2O4 at its relaxed geometry.

Cell and atoms, written as extended XYZ:
```
14
Lattice="-4.3593 -2.7277 -3.1982 1.5036 -4.2694 -4.1414 -2.5941 -5.3820 2.3929" Properties=species:S:1:pos:R:3 pbc="T T T"
Zn -1.6351 -5.5076 -1.6738
Zn -2.1796 -1.3638 -1.5991
Ag -3.9231 -7.9224 -2.2289
Ag -4.4677 -3.7786 -2.1542
Ag -3.7063 -5.8206 -4.3169
Ag -2.4857 -4.3312 1.3489
O -0.2246 -4.3855 -2.4064
O -4.9957 -6.6452 -1.1365
O -2.0631 -7.4048 -1.6193
O -2.8395 -4.6320 -2.9259
O -2.8421 -9.1182 -3.4021
O -0.9752 -2.2395 -0.3469
O -1.4131 -5.6083 0.2564
O -2.0865 -6.7554 -5.0079
```

Values from the calculation:
**Energy**: -4.50 eV per atom
**Space group**: Fddd (70)
**Formation energy (no corrections)**: -0.324 eV per atom
**Distance to the lowest polymorph of the same formula**: 25.1 meV per atom

# 3
A plane-wave DFT calculation with PBEsol was carried out for crystalline LiTiMnO4 at its relaxed geometry.

Cell and atoms, written as extended XYZ:
```
28
Lattice="6.1732 0.0000 0.0000 0.0000 6.1732 0.0000 0.0000 0.0000 7.1217" Properties=species:S:1:pos:R:3 pbc="T T T"
Li 0.0000 1.3415 0.0000
Li 0.0000 4.8317 3.5609
Li 1.3415 0.0000 1.7804
Li 4.8317 0.0000 5.3413
Ti 1.3386 3.0866 1.7804
Ti 3.0866 1.3386 0.0000
Ti 3.0866 4.8346 3.5609
Ti 4.8346 3.0866 5.3413
Mn 1.5960 1.5960 4.4511
Mn 1.5960 4.5771 6.2315
Mn 4.5771 1.5960 2.6707
Mn 4.5771 4.5771 0.8902
O 0.1743 1.6510 2.0524
O 0.1743 4.5222 1.5084
O 1.6510 0.1743 6.8497
O 1.6510 5.9989 3.8329
O 1.6366 2.8353 6.9919
O 1.6366 3.3379 3.6907
O 2.8353 1.6366 1.9102
O 2.8353 4.5366 1.6506
O 3.3379 1.6366 5.2115
O 3.3379 4.5366 5.4711
O 4.5366 3.3379 3.4311
O 4.5366 2.8353 0.1298
O 4.5222 0.1743 0.2720
O 4.5222 5.9989 3.2889
O 5.9989 1.6510 5.0693
O 5.9989 4.5222 5.6133
```

Values from the calculation:
**Energy**: -8.15 eV per atom
**Space group**: P4_322 (95)
**Formation energy (no corrections)**: -2.282 eV per atom
**Distance to the lowest polymorph of the same formula**: 75.7 meV per atom

# 4
A plane-wave DFT calculation with PBEsol was carried out for crystalline FeSbPt at its relaxed geometry.

Cell and atoms, written as extended XYZ:
```
3
Lattice="4.1839 0.0000 0.0000 2.0920 3.6234 0.0000 2.0920 1.2078 3.4162" Properties=species:S:1:pos:R:3 pbc="T T T"
Fe 2.0920 1.2078 0.8540
Pt 0.0000 0.0000 0.0000
Sb 4.1839 2.4156 1.7081
```

Values from the calculation:
**Energy**: -6.83 eV per atom
**Space group**: F-43m (216)
**Formation energy (no corrections)**: -0.003 eV per atom

# 5
A plane-wave DFT calculation with PBEsol was carried out for crystalline Mg2CoCu at its relaxed geometry.

Cell and atoms, written as extended XYZ:
```
4
Lattice="2.7932 0.0000 0.0000 0.0000 4.5467 -0.0179 -1.3966 -1.5133 4.5677" Properties=species:S:1:pos:R:3 pbc="T T T"
Co 1.3966 2.0709 0.1903
Cu 0.0000 2.8372 2.0382
Mg 1.3966 2.8529 4.3872
Mg 1.3966 0.5792 2.4751
```

Values from the calculation:
**Energy**: -3.77 eV per atom
**Space group**: Cm (8)
**Formation enthalpy at 0 K**: 10.5 kJ per mole of atoms

# 6
A plane-wave DFT calculation with PBEsol was carried out for crystalline CaSbOsI2 at its relaxed geometry.

Cell and atoms, written as extended XYZ:
```
5
Lattice="5.6453 0.0000 0.0000 0.0000 5.6453 0.0000 0.0000 0.0000 6.0744" Properties=species:S:1:pos:R:3 pbc="T T T"
I 0.0000 2.8227 0.0000
I 2.8227 0.0000 0.0000
Sb 0.0000 0.0000 3.0372
Ca 0.0000 0.0000 0.0000
Os 2.8227 2.8227 3.0372
```

Values from the calculation:
**Energy**: -3.19 eV per atom
**Space group**: P4/mmm (123)
**Formation energy (no corrections)**: 1.301 eV per atom

# 7
A plane-wave DFT calculation with PBEsol was carried out for crystalline CoIrOs2 at its relaxed geometry.

Cell and atoms, written as extended XYZ:
```
4
Lattice="-2.0582 -1.3784 1.0881 2.7592 -1.9824 2.7081 -0.9556 4.9735 1.1290" Properties=species:S:1:pos:R:3 pbc="T T T"
Co 0.3471 -1.6618 1.9152
Ir -1.3651 1.1391 2.2246
Os -0.2514 1.5950 4.9089
Os 1.1106 0.4729 2.6999
```

Values from the calculation:
**Energy**: -10.10 eV per atom
**Space group**: Imm2 (44)
**Formation enthalpy at 0 K**: 38.0 kJ per mole of atoms
**Distance to the lowest polymorph of the same formula**: 307.3 meV per atom

# 8
A plane-wave DFT calculation with PBEsol was carried out for crystalline LiAlF3 at its relaxed geometry.

Cell and atoms, written as extended XYZ:
```
5
Lattice="3.6280 0.0000 0.0000 0.0000 3.6280 0.0000 0.0000 0.0000 3.6280" Properties=species:S:1:pos:R:3 pbc="T T T"
Al 0.0000 0.0000 0.0000
F 0.0000 1.8140 1.8140
F 1.8140 0.0000 1.8140
F 1.8140 1.8140 0.0000
Li 1.8140 1.8140 1.8140
```

Values from the calculation:
**Energy**: -4.53 eV per atom
**Space group**: Pm-3m (221)
**Formation energy (no corrections)**: -2.164 eV per atom

# 9
A plane-wave DFT calculation with PBEsol was carried out for crystalline Ca2TlZn at its relaxed geometry.

Cell and atoms, written as extended XYZ:
```
4
Lattice="3.5883 0.0000 0.0000 0.0000 5.2531 -0.4463 -1.7941 -2.4500 5.7285" Properties=species:S:1:pos:R:3 pbc="T T T"
Tl 1.7941 2.7368 0.1387
Ca 1.7941 2.8484 4.9291
Ca 1.7941 0.0442 2.9264
Zn 0.0000 2.6034 2.3470
```

Values from the calculation:
**Energy**: -2.39 eV per atom
**Space group**: Cm (8)
**Formation enthalpy at 0 K**: -26.1 kJ per mole of atoms

# 10
A plane-wave DFT calculation with PBEsol was carried out for crystalline LiCu2O4 at its relaxed geometry.

Cell and atoms, written as extended XYZ:
```
14
Lattice="-0.5110 3.7074 -4.4088 -0.0831 -1.9673 -5.4375 -4.8986 0.1868 -3.0680" Properties=species:S:1:pos:R:3 pbc="T T T"
Li -1.3732 0.4817 -3.2285
Li 0.0000 0.0000 0.0000
Cu -3.1774 -0.6494 -5.8670
Cu -3.3913 2.1879 -5.3526
Cu -0.9836 1.1109 -6.5374
Cu -3.4329 1.2043 -8.0714
O -4.7352 1.6612 -11.1333
O -4.5061 -0.0012 -9.1564
O -2.1306 0.7474 -5.0094
O -2.1679 -0.1347 -7.4476
O -2.3597 2.4098 -6.9863
O -4.3271 0.8312 -6.3851
O -4.6979 2.5433 -8.6952
O -2.5387 1.5774 -9.7577
```

Values from the calculation:
**Energy**: -5.22 eV per atom
**Space group**: Fd-3m (227)
**Formation energy (no corrections)**: -0.701 eV per atom